[1]
{"formula": "Ca2ReAu", "functional": "PBE", "state": "optimized geometry", "dos_at_fermi_per_ev_cell": 4.7, "polymorph_energy_ev_per_atom": 0.1780, "total_energy_ev_per_atom": -4.52, "density_g_cm3": 7.564, "cell": [[3.452, 0.000, 0.000], [0.000, 3.452, 0.000], [0.000, 0.000, 8.537]], "species": ["Ca", "Ca", "Re", "Au"], "fractional_positions": [[0.000, 0.000, 0.000], [0.500, 0.500, 0.397], [0.000, 0.000, 0.628], [0.500, 0.500, 0.775]]}

***

[2]
{"formula": "Ca2ReAu", "functional": "PBE", "state": "optimized geometry", "dos_at_fermi_per_ev_cell": 3.2, "polymorph_energy_ev_per_atom": 0.0053, "total_energy_ev_per_atom": -4.69, "density_g_cm3": 8.869, "cell": [[3.032, 0.000, 0.000], [0.000, 3.319, 0.000], [0.000, 0.000, 8.622]], "species": ["Ca", "Ca", "Re", "Au"], "fractional_positions": [[0.000, 0.000, 0.247], [0.000, 0.000, 0.753], [0.500, 0.500, 0.000], [0.500, 0.500, 0.500]]}

***

[3]
{"formula": "Ca2ReAu", "functional": "PBE", "state": "optimized geometry", "dos_at_fermi_per_ev_cell": 4.6, "polymorph_energy_ev_per_atom": 0.2934, "total_energy_ev_per_atom": -4.40, "density_g_cm3": 8.865, "cell": [[0.000, 3.514, 3.514], [3.514, 0.000, 3.514], [3.514, 3.514, 0.000]], "species": ["Ca", "Ca", "Re", "Au"], "fractional_positions": [[0.000, 0.000, 0.000], [0.250, 0.250, 0.250], [0.500, 0.500, 0.500], [0.750, 0.750, 0.750]]}